{"formula": "HgTe2Mo", "functional": "GGA-PBE", "state": "optimized geometry", "raw_formation_energy_ev_per_fu": 0.2, "magmom_total_mub_per_cell": 0.00, "rho_g_cm3": 8.0, "lattice_angstrom": [[3.3714, 0.0000, 0.0000], [0.0000, 3.4521, 0.0000], [0.0000, 0.0000, 19.7330]], "species": ["Hg", "Hg", "Te", "Te", "Te", "Te", "Mo", "Mo"], "frac_coords": [[0.0000, 0.0000, 0.0000], [0.5000, 0.5000, 0.5000], [0.0000, 0.0000, 0.3474], [0.0000, 0.5000, 0.1706], [0.5000, 0.0000, 0.6706], [0.5000, 0.5000, 0.8474], [0.0000, 0.5000, 0.7421], [0.5000, 0.0000, 0.2421]]}